## Sc2TiS (PBE)

Data for Sc2TiS after structural relaxation.

Values from the calculation:
* DFT total energy: -6.260 eV per atom
* formation energy without anion corrections: -0.09 eV/atom

Unit cell a=9.647 b=9.647 c=9.647 alpha=19.86 beta=19.86 gamma=19.86
Sites, in units of the cell vectors:
Sc1 0.084 0.084 0.084
Sc2 0.916 0.916 0.916
Ti1 0.500 0.500 0.500
S1 0.000 0.000 0.000